<1>
A geometry-optimized CaTc2F structure. Source: Alexandria via LeMat-Bulk, functional GGA-PBE.

Values from the calculation:
* V: 16.39 A^3/atom
* Fermi-level density of states: 5.8 states/eV/f.u.
* total moment: 0.0 μB per formula unit
* crystal system: cubic

CIF file:
```
data_CaTc2F
_cell_length_a 6.401
_cell_length_b 6.401
_cell_length_c 6.401
_cell_angle_alpha 90.00
_cell_angle_beta 90.00
_cell_angle_gamma 90.00
_symmetry_space_group_name_H-M 'F m -3 m'
_symmetry_Int_Tables_number 225
_symmetry_space_group_name_Hall '-F 4 2 3'
loop_
_atom_site_label
_atom_site_type_symbol
_atom_site_fract_x
_atom_site_fract_y
_atom_site_fract_z
Ca1 Ca 0.000 0.000 0.000
Tc1 Tc 0.250 0.250 0.250
F1 F 0.000 0.000 0.500
```

<2>
A geometry-optimized CaTc2F structure. Source: Alexandria via LeMat-Bulk, functional GGA-PBE.

Values from the calculation:
* V: 21.50 A^3/atom
* Fermi-level density of states: 6.4 states/eV/f.u.
* total moment: 1.4 μB per formula unit
* crystal system: tetragonal

CIF file:
```
data_CaTc2F
_cell_length_a 4.617
_cell_length_b 4.617
_cell_length_c 16.137
_cell_angle_alpha 90.00
_cell_angle_beta 90.00
_cell_angle_gamma 90.00
_symmetry_space_group_name_H-M 'I 41/a m d'
_symmetry_Int_Tables_number 141
loop_
_symmetry_equiv_pos_as_xyz
'x,y,z'
'-x,-y,-z'
'-y+1/4,x+3/4,z+1/4'
'y+1/4,-x+3/4,-z+1/4'
'-x+1/2,-y,z+1/2'
'x+1/2,y,-z+1/2'
'y+1/4,-x+1/4,z+3/4'
'-y+1/4,x+1/4,-z+3/4'
'x,-y,-z'
'-x,y,z'
'-y+1/4,-x+1/4,-z+3/4'
'y+1/4,x+1/4,z+3/4'
'-x+1/2,y,-z+1/2'
'x+1/2,-y,z+1/2'
'y+1/4,x+3/4,-z+1/4'
'-y+1/4,-x+3/4,z+1/4'
'x+1/2,y+1/2,z+1/2'
'-x+1/2,-y+1/2,-z+1/2'
'-y+3/4,x+1/4,z+3/4'
'y+3/4,-x+1/4,-z+3/4'
'-x,-y+1/2,z'
'x,y+1/2,-z'
'y+3/4,-x+3/4,z+1/4'
'-y+3/4,x+3/4,-z+1/4'
'x+1/2,-y+1/2,-z+1/2'
'-x+1/2,y+1/2,z+1/2'
'-y+3/4,-x+3/4,-z+1/4'
'y+3/4,x+3/4,z+1/4'
'-x,y+1/2,-z'
'x,-y+1/2,z'
'y+3/4,x+1/4,-z+3/4'
'-y+3/4,-x+1/4,z+3/4'
loop_
_atom_site_label
_atom_site_type_symbol
_atom_site_fract_x
_atom_site_fract_y
_atom_site_fract_z
Ca1 Ca 0.000 0.250 0.375
Tc1 Tc 0.000 0.000 0.000
F1 F 0.000 0.250 0.875
```

The least stable of them is <1>.

<1>
A geometry-optimized CaTe3F structure. Source: Alexandria via LeMat-Bulk, functional GGA-PBE.

Values from the calculation:
* V: 25.82 A^3/atom
* Fermi-level density of states: 1.6 states/eV/f.u.
* total moment: 0.0 μB per formula unit
* crystal system: cubic

CIF file:
```
data_CaTe3F
_cell_length_a 5.054
_cell_length_b 5.054
_cell_length_c 5.054
_cell_angle_alpha 90.00
_cell_angle_beta 90.00
_cell_angle_gamma 90.00
_symmetry_space_group_name_H-M 'P m -3 m'
_symmetry_Int_Tables_number 221
_symmetry_space_group_name_Hall '-P 4 2 3'
loop_
_atom_site_label
_atom_site_type_symbol
_atom_site_fract_x
_atom_site_fract_y
_atom_site_fract_z
Ca1 Ca 0.000 0.000 0.000
Te1 Te 0.000 0.500 0.500
F1 F 0.500 0.500 0.500
```

<2>
A geometry-optimized CaTe3F structure. Source: Alexandria via LeMat-Bulk, functional GGA-PBE.

Values from the calculation:
* V: 36.57 A^3/atom
* Fermi-level density of states: 7.3 states/eV/f.u.
* total moment: 0.7 μB per formula unit
* crystal system: cubic

CIF file:
```
data_CaTe3F
_cell_length_a 5.676
_cell_length_b 5.676
_cell_length_c 5.676
_cell_angle_alpha 90.00
_cell_angle_beta 90.00
_cell_angle_gamma 90.00
_symmetry_space_group_name_H-M 'P m -3 m'
_symmetry_Int_Tables_number 221
_symmetry_space_group_name_Hall '-P 4 2 3'
loop_
_atom_site_label
_atom_site_type_symbol
_atom_site_fract_x
_atom_site_fract_y
_atom_site_fract_z
Ca1 Ca 0.000 0.000 0.000
Te1 Te 0.000 0.000 0.500
F1 F 0.500 0.500 0.500
```

The least stable of them is <2>.

<1>
A geometry-optimized CaTeF2 structure. Source: Alexandria via LeMat-Bulk, functional GGA-PBE.

Values from the calculation:
* V: 24.57 A^3/atom
* Fermi-level density of states: 0.1 states/eV/f.u.
* total moment: 0.0 μB per formula unit
* crystal system: tetragonal

CIF file:
```
data_CaTeF2
_cell_length_a 6.777
_cell_length_b 6.777
_cell_length_c 8.560
_cell_angle_alpha 90.00
_cell_angle_beta 90.00
_cell_angle_gamma 90.00
_symmetry_space_group_name_H-M 'I -4 2 d'
_symmetry_Int_Tables_number 122
_symmetry_space_group_name_Hall 'I -4 2bw'
loop_
_atom_site_label
_atom_site_type_symbol
_atom_site_fract_x
_atom_site_fract_y
_atom_site_fract_z
Ca1 Ca 0.000 0.000 0.000
Te1 Te 0.000 0.000 0.500
F1 F 0.109 0.250 0.125
```

<2>
A geometry-optimized CaTeF2 structure. Source: Alexandria via LeMat-Bulk, functional GGA-PBE.

Values from the calculation:
* V: 18.83 A^3/atom
* Fermi-level density of states: 0.1 states/eV/f.u.
* total moment: 2.0 μB per formula unit
* crystal system: cubic

CIF file:
```
data_CaTeF2
_cell_length_a 6.704
_cell_length_b 6.704
_cell_length_c 6.704
_cell_angle_alpha 90.00
_cell_angle_beta 90.00
_cell_angle_gamma 90.00
_symmetry_space_group_name_H-M 'F m -3 m'
_symmetry_Int_Tables_number 225
_symmetry_space_group_name_Hall '-F 4 2 3'
loop_
_atom_site_label
_atom_site_type_symbol
_atom_site_fract_x
_atom_site_fract_y
_atom_site_fract_z
Ca1 Ca 0.000 0.000 0.000
Te1 Te 0.000 0.000 0.500
F1 F 0.250 0.250 0.250
```

The least stable of them is <2>.